(1)
! CaRu3I, optimized geometry, DFT PBE; values from VASP
&SYSTEM
  ibrav = 0, nat = 5, ntyp = 3
/
ATOMIC_SPECIES
Ca 40.08 Ca.upf
Ru 101.07 Ru.upf
I 126.90 I.upf
CELL_PARAMETERS angstrom
4.934 0.000 0.000
0.000 4.934 0.000
0.000 0.000 4.934
ATOMIC_POSITIONS crystal
Ca 0.000 0.000 0.000
Ru 0.000 0.000 0.500
Ru 0.000 0.500 0.000
Ru 0.500 0.000 0.000
I 0.500 0.500 0.500
! total magnetization	5.78	μB per formula unit
! ΔE_f (raw)	11.03	eV per formula unit
! crystal system	cubic

***

(2)
! CaRuSeI2, optimized geometry, DFT PBE; values from VASP
&SYSTEM
  ibrav = 0, nat = 5, ntyp = 4
/
ATOMIC_SPECIES
Ca 40.08 Ca.upf
Ru 101.07 Ru.upf
Se 78.96 Se.upf
I 126.90 I.upf
CELL_PARAMETERS angstrom
5.552 0.000 0.000
0.000 5.552 0.000
0.000 0.000 4.766
ATOMIC_POSITIONS crystal
Ca 0.000 0.000 0.000
Ru 0.500 0.500 0.500
Se 0.500 0.500 0.000
I 0.000 0.500 0.500
I 0.500 0.000 0.500
! total magnetization	0.00	μB per formula unit
! ΔE_f (raw)	-1.60	eV per formula unit
! crystal system	tetragonal

***

(3)
! CaTaRuI2, optimized geometry, DFT PBE; values from VASP
&SYSTEM
  ibrav = 0, nat = 5, ntyp = 4
/
ATOMIC_SPECIES
Ca 40.08 Ca.upf
Ta 180.95 Ta.upf
Ru 101.07 Ru.upf
I 126.90 I.upf
CELL_PARAMETERS angstrom
5.551 0.000 0.000
0.000 5.551 0.000
0.000 0.000 4.764
ATOMIC_POSITIONS crystal
Ca 0.000 0.000 0.000
Ta 0.500 0.500 0.000
Ru 0.500 0.500 0.500
I 0.000 0.500 0.500
I 0.500 0.000 0.500
! total magnetization	0.00	μB per formula unit
! ΔE_f (raw)	2.67	eV per formula unit
! crystal system	tetragonal

***

(4)
! CaTe2RuI, optimized geometry, DFT PBE; values from VASP
&SYSTEM
  ibrav = 0, nat = 5, ntyp = 4
/
ATOMIC_SPECIES
Ca 40.08 Ca.upf
Te 127.60 Te.upf
Ru 101.07 Ru.upf
I 126.90 I.upf
CELL_PARAMETERS angstrom
5.255 0.000 0.000
0.000 5.255 0.000
0.000 0.000 5.572
ATOMIC_POSITIONS crystal
Ca 0.000 0.000 0.000
Te 0.000 0.500 0.500
Te 0.500 0.000 0.500
Ru 0.500 0.500 0.500
I 0.500 0.500 0.000
! total magnetization	0.78	μB per formula unit
! ΔE_f (raw)	-0.85	eV per formula unit
! crystal system	tetragonal

***

(5)
! CaTe2RuI, optimized geometry, DFT PBE; values from VASP
&SYSTEM
  ibrav = 0, nat = 5, ntyp = 4
/
ATOMIC_SPECIES
Ca 40.08 Ca.upf
Te 127.60 Te.upf
Ru 101.07 Ru.upf
I 126.90 I.upf
CELL_PARAMETERS angstrom
6.134 0.000 0.000
0.000 6.134 0.000
0.000 0.000 5.493
ATOMIC_POSITIONS crystal
Ca 0.000 0.000 0.000
Te 0.000 0.500 0.500
Te 0.500 0.000 0.500
Ru 0.500 0.500 0.000
I 0.000 0.000 0.500
! total magnetization	2.96	μB per formula unit
! ΔE_f (raw)	5.35	eV per formula unit
! crystal system	tetragonal

***

(6)
! CaTiRu2I, optimized geometry, DFT PBE; values from VASP
&SYSTEM
  ibrav = 0, nat = 5, ntyp = 4
/
ATOMIC_SPECIES
Ca 40.08 Ca.upf
Ti 47.87 Ti.upf
Ru 101.07 Ru.upf
I 126.90 I.upf
CELL_PARAMETERS angstrom
4.805 0.000 0.000
0.000 4.805 0.000
0.000 0.000 5.085
ATOMIC_POSITIONS crystal
Ca 0.000 0.000 0.000
Ti 0.000 0.000 0.500
Ru 0.000 0.500 0.000
Ru 0.500 0.000 0.000
I 0.500 0.500 0.500
! total magnetization	2.58	μB per formula unit
! ΔE_f (raw)	9.89	eV per formula unit
! crystal system	tetragonal

***

(7)
! CaZnRuI2, optimized geometry, DFT PBE; values from VASP
&SYSTEM
  ibrav = 0, nat = 5, ntyp = 4
/
ATOMIC_SPECIES
Ca 40.08 Ca.upf
Zn 65.41 Zn.upf
Ru 101.07 Ru.upf
I 126.90 I.upf
CELL_PARAMETERS angstrom
5.416 0.000 0.000
0.000 5.416 0.000
0.000 0.000 5.383
ATOMIC_POSITIONS crystal
Ca 0.000 0.000 0.000
Zn 0.500 0.500 0.000
Ru 0.000 0.000 0.500
I 0.000 0.500 0.500
I 0.500 0.000 0.500
! total magnetization	0.57	μB per formula unit
! ΔE_f (raw)	0.51	eV per formula unit
! crystal system	tetragonal

***

(8)
! CaS3I, optimized geometry, DFT PBE; values from VASP
&SYSTEM
  ibrav = 0, nat = 5, ntyp = 3
/
ATOMIC_SPECIES
Ca 40.08 Ca.upf
S 32.06 S.upf
I 126.90 I.upf
CELL_PARAMETERS angstrom
5.272 0.000 0.000
0.000 5.272 0.000
0.000 0.000 5.272
ATOMIC_POSITIONS crystal
Ca 0.000 0.000 0.000
S 0.000 0.000 0.500
S 0.000 0.500 0.000
S 0.500 0.000 0.000
I 0.500 0.500 0.500
! total magnetization	0.00	μB per formula unit
! ΔE_f (raw)	1.63	eV per formula unit
! crystal system	cubic

***

Copy entry 1 word for word.
! CaRu3I, optimized geometry, DFT PBE; values from VASP
&SYSTEM
  ibrav = 0, nat = 5, ntyp = 3
/
ATOMIC_SPECIES
Ca 40.08 Ca.upf
Ru 101.07 Ru.upf
I 126.90 I.upf
CELL_PARAMETERS angstrom
4.934 0.000 0.000
0.000 4.934 0.000
0.000 0.000 4.934
ATOMIC_POSITIONS crystal
Ca 0.000 0.000 0.000
Ru 0.000 0.000 0.500
Ru 0.000 0.500 0.000
Ru 0.500 0.000 0.000
I 0.500 0.500 0.500
! total magnetization	5.78	μB per formula unit
! ΔE_f (raw)	11.03	eV per formula unit
! crystal system	cubic